1.
# PHF

A relaxed PHF crystal (PBE-GGA, the Alexandria database).

Lattice parameters (Å, degrees): 3.3075 9.4194 16.7223 90.00 90.00 90.00
Space group Fddd (No. 70, origin choice 2)
Unique sites:
P 0.1250 0.1250 0.2781
H 0.1250 0.1250 0.4934
F 0.1250 0.2759 0.1250

Results
excess energy over the best structure of this formula in the dataset	754	meV/atom

=====

2.
# PHF

A relaxed PHF crystal (PBE-GGA, the Alexandria database).

Lattice parameters (Å, degrees): 5.1619 3.4817 5.3573 90.00 90.22 90.00
Space group Pm (No. 6)
Unique sites:
P 0.0000 0.0000 0.0000
P 0.2335 0.5000 0.8701
H 0.1199 0.5000 0.6280
H 0.7775 0.0000 0.1522
F 0.1757 0.0000 0.2719
F 0.8012 0.0000 0.7490

Results
excess energy over the best structure of this formula in the dataset	29	meV/atom

=====

3.
# PHF

A relaxed PHF crystal (PBE-GGA, the Alexandria database).

Lattice parameters (Å, degrees): 2.3246 2.6743 5.6416 103.10 100.31 94.01
Space group P1 (No. 1)
Unique sites:
P 0.0000 0.0000 0.0000
H 0.1303 0.1393 0.2745
F 0.8537 0.8442 0.6921

Results
excess energy over the best structure of this formula in the dataset	463	meV/atom

=====

4.
# PHS2F

A relaxed PHS2F crystal (PBE-GGA, the Alexandria database).

Lattice parameters (Å, degrees): 4.7816 4.7816 3.8445 90.00 90.00 90.00
Space group P4/mmm (No. 123)
Unique sites:
P 0.0000 0.0000 0.0000
H 0.5000 0.5000 0.0000
S 0.0000 0.5000 0.5000
F 0.0000 0.0000 0.5000

Results
excess energy over the best structure of this formula in the dataset	707	meV/atom

=====

5.
# PHSF2

A relaxed PHSF2 crystal (PBE-GGA, the Alexandria database).

Lattice parameters (Å, degrees): 9.5943 4.6471 8.9154 90.00 97.82 90.00
Space group P2_1/c (No. 14)
Unique sites:
P 0.2332 0.0504 0.4129
H 0.2688 0.6582 0.0257
S 0.3768 0.2361 0.8374
F 0.1189 0.2314 0.4839
F 0.1314 0.6269 0.7925

Results
energy	-4.66	eV per atom

=====

6.
# PHS2F

A relaxed PHS2F crystal (PBE-GGA, the Alexandria database).

Lattice parameters (Å, degrees): 3.6415 3.6415 4.6873 90.00 90.00 90.00
Space group P4/mmm (No. 123)
Unique sites:
P 0.0000 0.0000 0.0000
H 0.0000 0.0000 0.5000
S 0.0000 0.5000 0.5000
F 0.5000 0.5000 0.0000

Results
excess energy over the best structure of this formula in the dataset	0	meV/atom

=====

7.
# SbP2HF

A relaxed SbP2HF crystal (PBE-GGA, the Alexandria database).

Lattice parameters (Å, degrees): 3.7308 3.7308 4.8726 90.00 90.00 90.00
Space group P4/mmm (No. 123)
Unique sites:
Sb 0.0000 0.0000 0.0000
P 0.0000 0.5000 0.5000
H 0.5000 0.5000 0.5000
F 0.5000 0.5000 0.0000

Results
energy	-3.99	eV per atom

=====

8.
# SrP2HF

A relaxed SrP2HF crystal (PBE-GGA, the Alexandria database).

Lattice parameters (Å, degrees): 4.1671 4.1671 5.1142 90.00 90.00 90.00
Space group P4/mmm (No. 123)
Unique sites:
Sr 0.0000 0.0000 0.0000
P 0.0000 0.5000 0.5000
H 0.5000 0.5000 0.0000
F 0.5000 0.5000 0.5000

Results
energy	-3.63	eV per atom

=====

9.
# TaPHF2

A relaxed TaPHF2 crystal (PBE-GGA, the Alexandria database).

Lattice parameters (Å, degrees): 4.0363 4.0363 4.8881 90.00 90.00 90.00
Space group P4/mmm (No. 123)
Unique sites:
Ta 0.0000 0.0000 0.0000
P 0.0000 0.0000 0.5000
H 0.5000 0.5000 0.5000
F 0.0000 0.5000 0.0000

Results
energy	-5.77	eV per atom

=====

10.
# Tl2PHF

A relaxed Tl2PHF crystal (PBE-GGA, the Alexandria database).

Lattice parameters (Å, degrees): 5.6020 5.6020 3.9320 90.00 90.00 90.00
Space group P4/mmm (No. 123)
Unique sites:
Tl 0.0000 0.5000 0.0000
P 0.0000 0.0000 0.5000
H 0.5000 0.5000 0.5000
F 0.0000 0.0000 0.0000

Results
energy	-2.92	eV per atom

=====

11.
# PaH2F4

A relaxed PaH2F4 crystal (PBE-GGA, the Alexandria database).

Lattice parameters (Å, degrees): 3.9221 3.9237 7.6444 91.79 91.49 90.05
Space group P-1 (No. 2)
Unique sites:
Pa 0.0000 0.0000 0.0000
H 0.4731 0.5195 0.4540
F 0.0098 0.5097 0.1621
F 0.4911 0.9912 0.8379

Results
energy	-6.06	eV per atom

=====

12.
# Pa2HF8

A relaxed Pa2HF8 crystal (PBE-GGA, the Alexandria database).

Lattice parameters (Å, degrees): 10.4682 7.5896 4.4169 90.00 97.40 90.00
Space group C2/m (No. 12)
Unique sites:
Pa 0.2119 0.0000 0.0676
H 0.0000 0.0000 0.0000
F 0.1164 0.5000 0.6599
F 0.1451 0.0000 0.5551
F 0.1646 0.2816 0.1607

Results
energy	-6.73	eV per atom

=====

13.
# PaH3F6

A relaxed PaH3F6 crystal (PBE-GGA, the Alexandria database).

Lattice parameters (Å, degrees): 9.8919 9.8919 7.9149 90.00 90.00 120.00
Space group R-3 (No. 148, hexagonal axes)
Unique sites:
Pa 0.0000 0.0000 0.0000
Pa 0.0000 0.0000 0.5000
H 0.0233 0.6253 0.3928
F 0.0025 0.8415 0.7218
F 0.0254 0.7569 0.0637

Results
excess energy over the best structure of this formula in the dataset	259	meV/atom

=====

14.
# PaH2F8

A relaxed PaH2F8 crystal (PBE-GGA, the Alexandria database).

Lattice parameters (Å, degrees): 10.1483 5.8242 5.2426 90.00 100.76 90.00
Space group C2/m (No. 12)
Unique sites:
Pa 0.0000 0.0000 0.0000
H 0.2168 0.5000 0.4527
F 0.0940 0.2354 0.7996
F 0.1496 0.5000 0.2927
F 0.1706 0.0000 0.3142

Results
excess energy over the best structure of this formula in the dataset	25	meV/atom

=====

15.
# PaH2F

A relaxed PaH2F crystal (PBE-GGA, the Alexandria database).

Lattice parameters (Å, degrees): 5.4700 5.4700 5.4700 90.00 90.00 90.00
Space group Fm-3m (No. 225)
Unique sites:
Pa 0.0000 0.0000 0.0000
H 0.2500 0.2500 0.2500
F 0.0000 0.0000 0.5000

Results
energy	-5.63	eV per atom

=====

16.
# PaHF6

A relaxed PaHF6 crystal (PBE-GGA, the Alexandria database).

Lattice parameters (Å, degrees): 5.4333 8.9243 5.1389 90.00 100.99 90.00
Space group C2/m (No. 12)
Unique sites:
Pa 0.0000 0.0000 0.0000
H 0.0000 0.5000 0.5000
F 0.1343 0.5000 0.7012
F 0.1431 0.1583 0.7790

Results
energy	-6.21	eV per atom

=====

17.
# PaH2F8

A relaxed PaH2F8 crystal (PBE-GGA, the Alexandria database).

Lattice parameters (Å, degrees): 5.6354 8.8422 7.5564 90.00 93.01 90.00
Space group C2/m (No. 12)
Unique sites:
Pa 0.0000 0.0000 0.0000
H 0.1792 0.5000 0.3456
F 0.1721 0.5000 0.4962
F 0.1742 0.1619 0.1530
F 0.2046 0.5000 0.1938

Results
excess energy over the best structure of this formula in the dataset	0	meV/atom

=====

18.
# PaH3F6

A relaxed PaH3F6 crystal (PBE-GGA, the Alexandria database).

Lattice parameters (Å, degrees): 8.9569 7.3445 5.2414 90.00 104.39 90.00
Space group Cm (No. 8)
Unique sites:
Pa 0.0000 0.0000 0.0000
H 0.1571 0.5000 0.5887
H 0.4921 0.0000 0.4333
H 0.4932 0.0000 0.5786
F 0.0855 0.2038 0.8003
F 0.1885 0.0000 0.3212
F 0.2697 0.5000 0.6217
F 0.3923 0.3000 0.1681

Results
excess energy over the best structure of this formula in the dataset	0	meV/atom

=====

19.
# PaH3F7

A relaxed PaH3F7 crystal (PBE-GGA, the Alexandria database).

Lattice parameters (Å, degrees): 9.3360 9.3360 5.6688 90.00 90.00 120.00
Space group R3m (No. 160, hexagonal axes)
Unique sites:
Pa 0.0000 0.0000 0.0000
H 0.1763 0.3527 0.2687
F 0.0000 0.0000 0.3739
F 0.0463 0.5231 0.7735
F 0.2163 0.4327 0.4586

Results
energy	-5.53	eV per atom

=====

20.
# PaH2F6

A relaxed PaH2F6 crystal (PBE-GGA, the Alexandria database).

Lattice parameters (Å, degrees): 5.4431 5.4431 14.6806 90.00 90.00 120.00
Space group R3 (No. 146, hexagonal axes)
Unique sites:
Pa 0.0000 0.0000 0.0000
H 0.0000 0.0000 0.3074
H 0.0000 0.0000 0.3714
F 0.0325 0.3439 0.0792
F 0.0335 0.6947 0.9205

Results
excess energy over the best structure of this formula in the dataset	314	meV/atom

=====

21.
# PaH2F6

A relaxed PaH2F6 crystal (PBE-GGA, the Alexandria database).

Lattice parameters (Å, degrees): 5.0528 10.0481 5.3544 90.00 101.49 90.00
Space group C2/m (No. 12)
Unique sites:
Pa 0.0000 0.0000 0.0000
H 0.0000 0.1665 0.5000
F 0.0808 0.1613 0.7161
F 0.1093 0.5000 0.7828

Results
excess energy over the best structure of this formula in the dataset	0	meV/atom

=====

22.
# PaHF4

A relaxed PaHF4 crystal (PBE-GGA, the Alexandria database).

Lattice parameters (Å, degrees): 5.3435 5.3435 5.1933 90.00 90.00 90.00
Space group I-4 (No. 82)
Unique sites:
Pa 0.0000 0.0000 0.0000
H 0.0000 0.5000 0.2500
F 0.1966 0.7659 0.6705

Results
energy	-6.06	eV per atom

=====

23.
# HPbF2

A relaxed HPbF2 crystal (PBE-GGA, the Alexandria database).

Lattice parameters (Å, degrees): 3.1398 3.1398 19.4295 90.00 90.00 120.00
Space group R-3m (No. 166, hexagonal axes)
Unique sites:
H 0.0000 0.0000 0.0000
Pb 0.0000 0.0000 0.5000
F 0.0000 0.0000 0.3798

Results
excess energy over the best structure of this formula in the dataset	941	meV/atom